1.
# SrLiGa6 | the Alexandria database | PBE | relaxed
data_SrLiGa6
_cell_length_a 4.547
_cell_length_b 4.547
_cell_length_c 7.839
_cell_angle_alpha 90.00
_cell_angle_beta 90.00
_cell_angle_gamma 90.00
_space_group_name_H-M_alt 'P 1'
_space_group_IT_number 1
_space_group_name_Hall 'P 1'
loop_
_atom_site_label
_atom_site_type_symbol
_atom_site_fract_x
_atom_site_fract_y
_atom_site_fract_z
Ga1 Ga 0.500 0.000 0.332
Ga2 Ga 0.500 0.500 0.161
Li1 Li 0.000 0.000 0.500
Ga3 Ga 0.000 0.500 0.332
Sr1 Sr 0.000 0.000 0.000
Ga4 Ga 0.500 0.500 0.839
Ga5 Ga 0.000 0.500 0.668
Ga6 Ga 0.500 0.000 0.668
# Space group: P4/mmm, No. 123
# Raw total energy, eV/cell: -24.16
# Formation energy from the elements, meV per atom: -301

---

2.
# SrLi2Ga | the Alexandria database | PBE | relaxed
data_SrLi2Ga
_cell_length_a 3.732
_cell_length_b 3.732
_cell_length_c 7.157
_cell_angle_alpha 90.00
_cell_angle_beta 90.00
_cell_angle_gamma 90.00
_space_group_name_H-M_alt 'P 1'
_space_group_IT_number 1
_space_group_name_Hall 'P 1'
loop_
_atom_site_label
_atom_site_type_symbol
_atom_site_fract_x
_atom_site_fract_y
_atom_site_fract_z
Li1 Li 0.000 0.000 0.176
Sr1 Sr 0.500 0.500 0.500
Li2 Li 0.000 0.000 0.824
Ga1 Ga 0.500 0.500 0.000
# Space group: P4/mmm, No. 123
# Raw total energy, eV/cell: -8.76
# Formation energy from the elements, meV per atom: -55